A plane-wave DFT calculation with PBE was carried out for Nd2Dy2CI4Br after structural relaxation.

a b c (Å): 9.964 9.964 8.500
angles (deg): 101.73 101.73 23.18
Fractional coordinates of all 10 atoms:
Nd1 0.001 0.001 0.295
Nd2 0.999 0.999 0.705
Dy1 0.374 0.374 0.437
Dy2 0.626 0.626 0.563
C1 0.500 0.500 0.500
I1 0.165 0.165 0.839
I2 0.169 0.169 0.325
I3 0.831 0.831 0.675
I4 0.835 0.835 0.161
Br1 0.500 0.500 0.000

Output
offset from the most stable computed form: 0.0 meV/atom
space-group type: C2/m
VASP energy: -4.753 eV per atom
magnetization: 0.03 μB per formula unit